Entry 1:
DFT (PBEsol) results for a relaxed structure of CuIrPt2.

## Properties
energy above the lowest structure with this stoichiometry = 0.21 eV/f.u.
formation enthalpy at 0 K = 3 meV/atom

POSCAR file:
```
CuIrPt2
1.0
2.727 0.000 0.000
0.000 2.727 0.000
0.000 0.000 7.495
Cu Ir Pt
1 1 2
direct
0.000 0.000 0.000
0.000 0.000 0.500
0.500 0.500 0.243
0.500 0.500 0.757
```

Entry 2:
DFT (PBEsol) results for a relaxed structure of CaIF2.

## Properties
uncorrected energy = -4.7000 eV/atom

POSCAR file:
```
CaIF2
1.0
1.737 1.003 9.649
-1.737 1.003 9.649
0.000 -2.005 9.649
Ca I F
1 1 2
direct
0.000 0.000 0.000
0.500 0.500 0.500
0.368 0.368 0.368
0.632 0.632 0.632
```

Entry 3:
DFT (PBEsol) results for a relaxed structure of NiPbBr3.

## Properties
uncorrected energy = -3.5036 eV/atom

POSCAR file:
```
NiPbBr3
1.0
4.881 0.000 0.000
0.000 4.881 0.000
0.000 0.000 4.881
Ni Pb Br
1 1 3
direct
0.000 0.000 0.000
0.500 0.500 0.500
0.000 0.000 0.500
0.000 0.500 0.000
0.500 0.000 0.000
```

Entry 4:
DFT (PBEsol) results for a relaxed structure of KRbY2Se.

## Properties
uncorrected energy = -2.7250 eV/atom

POSCAR file:
```
KRbY2Se
1.0
5.486 0.000 0.000
0.000 5.486 0.000
0.000 0.000 5.732
K Rb Y Se
1 1 2 1
direct
0.000 0.000 0.000
0.000 0.000 0.500
0.000 0.500 0.500
0.500 0.000 0.500
0.500 0.500 0.000
```

The calculated volume results, record by record, are as follows: 13.93 25.20 23.26 34.50 Å³ per atom.